(1)
Compound: Ca2SmPuO6
Source: the Alexandria database
Functional: GGA-PBE
Structure: optimized geometry

Lattice parameters (Å, degrees): 6.110 6.110 6.110 57.59 57.59 57.59
Atoms (fractional coordinates):
Ca1 0.000 0.000 0.000
Ca2 0.494 0.494 0.494
Sm1 0.218 0.218 0.218
Pu1 0.710 0.710 0.710
O1 0.070 0.437 0.830
O2 0.348 0.909 0.599
O3 0.437 0.830 0.070
O4 0.599 0.348 0.909
O5 0.830 0.070 0.437
O6 0.909 0.599 0.348

SG: R3
Formation energy from raw total energies: -3.054 eV per atom
VASP energy: -0.6125 Ry per atom
Spin magnetization: 3.0 μB per formula unit

***

(2)
Compound: Tl10AsAu4
Source: the Alexandria database
Functional: GGA-PBE
Structure: optimized geometry

Lattice parameters (Å, degrees): 20.366 20.366 20.366 14.10 14.10 14.10
Atoms (fractional coordinates):
Tl1 0.049 0.049 0.049
Tl2 0.149 0.149 0.149
Tl3 0.251 0.251 0.251
Tl4 0.350 0.350 0.350
Tl5 0.449 0.449 0.449
Tl6 0.551 0.551 0.551
Tl7 0.650 0.650 0.650
Tl8 0.749 0.749 0.749
Tl9 0.851 0.851 0.851
Tl10 0.951 0.951 0.951
As1 0.500 0.500 0.500
Au1 0.099 0.099 0.099
Au2 0.300 0.300 0.300
Au3 0.700 0.700 0.700
Au4 0.901 0.901 0.901

SG: R-3m
ΔH_f (0 K): -28 meV/atom
VASP energy: -0.2050 Ry per atom
Spin magnetization: 0.0 μB per formula unit